(1)
This record from the Alexandria database describes a relaxed Na2BiWO6 crystal. The functional is PBE with a Hubbard U.

Values from the calculation:
- raw total energy (eV/atom) = -6.007

a = 5.749 Å, b = 5.749 Å, c = 5.749 Å
α = 59.97°, β = 59.97°, γ = 59.97°
Positions (direct):
Na: 0.237 0.237 0.237
Na: 0.763 0.763 0.763
Bi: 0.500 0.500 0.500
W: 0.000 0.000 0.000
O: 0.135 0.326 0.778
O: 0.222 0.865 0.674
O: 0.326 0.778 0.135
O: 0.674 0.222 0.865
O: 0.778 0.135 0.326
O: 0.865 0.674 0.222

(2)
This record from the Alexandria database describes a relaxed MnS2F crystal. The functional is PBE with a Hubbard U.

Values from the calculation:
- energy relative to the lowest polymorph listed for this composition (meV/atom) = 324

a = 6.756 Å, b = 6.756 Å, c = 6.756 Å
α = 131.10°, β = 131.10°, γ = 71.65°
Positions (direct):
Mn: 0.000 0.000 0.000
Mn: 0.750 0.250 0.500
S: 0.093 0.625 0.968
S: 0.375 0.343 0.468
S: 0.657 0.125 0.032
S: 0.875 0.907 0.532
F: 0.250 0.750 0.500
F: 0.500 0.500 0.000